VASP calculation (PBE+U) on a geometry-optimized Li2PuMoO8 structure.

Geometry as POSCAR:
```
Li2PuMoO8
1.0
4.148 0.000 0.000
-2.074 3.593 0.000
0.000 0.000 10.155
Li O Pu Mo
2 8 1 1
Cartesian
2.074 1.198 2.443
0.000 2.395 7.711
-1.325 2.378 3.793
0.677 1.256 3.793
3.399 1.214 6.362
1.426 0.042 6.362
0.000 2.395 9.598
2.074 1.198 0.557
0.648 3.551 3.793
1.397 2.337 6.362
0.000 0.000 5.077
0.000 0.000 0.000
```

- DOS(E_F) (states/eV/f.u.) = 8.6
- E (eV per atom) = -6.373